# 1
# V2CdIr2

An optimized crystal structure of V2CdIr2 (PBE-GGA, the Alexandria database).

Its calculated formation energy is -293 meV per atom. Its volume is 15.6 Å³ per atom. For the offset from the most stable computed form, the calculation gives 0.0 meV/atom. Its space-group type is P4/mbm.

Lattice parameters (Å, degrees): 7.4862 7.4862 2.7820 90.00 90.00 90.00
Closest atoms and distances in Å follow each position.
Atoms (fractional coordinates):
Ir 0.3690 0.8690 0.0000  6 V 2.60, 3 Ir 2.77-2.78
Ir 0.1310 0.3690 0.0000  6 V 2.60, 3 Ir 2.77-2.78
Ir 0.6310 0.1310 0.0000  6 V 2.60, 3 Ir 2.77-2.78
Ir 0.8690 0.6310 0.0000  6 V 2.60, 3 Ir 2.77-2.78
Cd 0.0000 0.0000 0.0000  2 Cd 2.78, 4 Ir 2.93
Cd 0.5000 0.5000 0.0000  2 Cd 2.78, 4 Ir 2.93
V 0.3385 0.1615 0.5000  6 Ir 2.60, 2 V 2.78
V 0.6615 0.8385 0.5000  6 Ir 2.60, 2 V 2.78
V 0.8385 0.3385 0.5000  6 Ir 2.60, 2 V 2.78
V 0.1615 0.6615 0.5000  6 Ir 2.60, 2 V 2.78


# 2
# Li2Ni

An optimized crystal structure of Li2Ni (PBE-GGA, the Alexandria database).

Its calculated formation energy is 41 meV per atom. Its volume is 14.8 Å³ per atom. Its space-group type is I4/mcm.

Lattice parameters (Å, degrees): 4.9570 4.9570 4.9570 102.59 102.59 124.33
Closest atoms and distances in Å follow each position.
Atoms (fractional coordinates):
Ni 0.2500 0.2500 0.0000  2 Ni 2.31, 8 Li 2.58
Ni 0.7500 0.7500 0.0000  2 Ni 2.31, 8 Li 2.58
Li 0.6689 0.8311 0.5000  4 Ni 2.58, 2 Li 2.72
Li 0.8311 0.3311 0.1623  4 Ni 2.58, 2 Li 2.72
Li 0.3311 0.1689 0.5000  4 Ni 2.58, 2 Li 2.72
Li 0.1689 0.6689 0.8377  4 Ni 2.58, 2 Li 2.72